Material: K2Cr2SbSe6
Method: DFT, PBE-GGA
State: optimized geometry

For the magnetic moment, the calculation gives 5.00 μB per formula unit. The calculation puts the total energy at -4.940 eV/atom. The value obtained for the formation energy without anion corrections is -0.716 eV/atom.

The space group is C2/m (No. 12) and the conventional cell measures 6.657, 11.640 and 8.025 Å, with angles of 90.00, 105.04 and 90.00 degrees. Symmetry generates all atoms from K at (0.000, 0.161, 0.000), Cr at (0.000, 0.333, 0.500), Sb at (0.000, 0.000, 0.500), Se at (0.196, 0.500, 0.683) and Se at (0.235, 0.180, 0.680).